DFT (PBE) results for a relaxed Er8P3AuSe4 crystal.

Unit cell a=8.0403 b=8.0403 c=19.8782 alpha=90.00 beta=90.00 gamma=120.00
Space group R-3m (No. 166, hexagonal axes)
One atom of each set of equivalent atoms:
1 Er 0.0000 0.0000 0.2423
2 Er 0.0082 0.5041 0.7544
3 P 0.0000 0.5000 0.5000
4 Au 0.0000 0.0000 0.5000
5 Se 0.0000 0.0000 0.0000
6 Se 0.0000 0.5000 0.0000

- DFT total energy: -0.43899 Ry per atom
- Raw formation energy: -1.601 eV/atom